1.
Compound: AcNpSi
Source: OQMD
Functional: PBE
Structure: optimized geometry

Cell and atoms, written as POSCAR:
```
AcNpSi
1.0
0.000 3.597 3.597
3.597 0.000 3.597
3.597 3.597 0.000
Ac Np Si
1 1 1
Direct
0.000 0.000 0.000
0.750 0.750 0.750
0.250 0.250 0.250
```

Results
excess energy over the best structure of this formula in the dataset	0.690	eV per atom
total magnetization	1.9535	μB per atom

=====

2.
Compound: SrAcNp
Source: OQMD
Functional: PBE
Structure: optimized geometry

Cell and atoms, written as POSCAR:
```
SrAcNp
1.0
0.000 4.216 4.216
4.216 0.000 4.216
4.216 4.216 0.000
Sr Ac Np
1 1 1
Direct
0.000 0.000 0.000
0.750 0.750 0.750
0.500 0.500 0.500
```

Results
total magnetization	2.0901	μB per atom
raw total energy	-14.519	eV/f.u.

=====

3.
Compound: AcThNp
Source: OQMD
Functional: PBE
Structure: optimized geometry

Cell and atoms, written as POSCAR:
```
AcThNp
1.0
0.000 3.779 3.779
3.779 0.000 3.779
3.779 3.779 0.000
Ac Th Np
1 1 1
Direct
0.000 0.000 0.000
0.500 0.500 0.500
0.250 0.250 0.250
```

Results
excess energy over the best structure of this formula in the dataset	0.000	eV per atom
formation enthalpy at 0 K	3.2	eV/f.u.
total magnetization	2.0233	μB per atom

=====

Q: total magnetization of number 3 (AcThNp)?
A: 2.0233 μB per atom